Entry from Alexandria via LeMat-Bulk: CaGdPb after structural relaxation (GGA-PBE).

Unit cell a=3.6406 b=3.6406 c=7.7305 alpha=103.62 beta=103.62 gamma=90.00
Last column: nearest neighbours and their distance in Å.
Fractional coordinates of all 3 atoms:
1 Pb 0.6183 0.6183 0.2366  4 Gd 3.35, 4 Ca 3.39, 4 Pb 3.64
2 Gd 0.2652 0.2652 0.5304  4 Pb 3.35, 4 Gd 3.64
3 Ca 0.9665 0.9665 0.9330  4 Pb 3.39, 4 Ca 3.64

SG = No. 107
M_tot = 7.5 μB/f.u.
Energy relative to the elements = -0.322 eV per atom